P2OsRh after structural relaxation. Source: the Alexandria database, functional PBEsol.

Summary:
Energy of formation (meV/atom): -84
ρ (Mg/m³): 10.0
Energy above the most stable polymorph in this dataset (meV/atom): 304
Fermi-level density of states (states/eV per atom): 0.56

abc: 2.818 2.818 7.416
angles: 90.00 90.00 90.00
Element x y z (fractional)
P  0.000  0.000  0.000
P  0.500  0.500  0.360
Os  0.500  0.500  0.819
Rh  0.000  0.000  0.544



POs2Rh after structural relaxation. Source: the Alexandria database, functional PBEsol.

Summary:
Energy of formation (meV/atom): 243
ρ (Mg/m³): 16.1
Fermi-level density of states (states/eV per atom): 0.52

abc: 3.794 3.794 7.384
angles: 90.00 90.00 90.00
Element x y z (fractional)
P  0.000  0.000  0.000
P  0.500  0.500  0.500
Os  0.000  0.000  0.500
Os  0.000  0.500  0.750
Os  0.500  0.000  0.250
Os  0.500  0.500  0.000
Rh  0.000  0.500  0.250
Rh  0.500  0.000  0.750



| no. | total energy (eV/f.u.) |
| --- | --- |
| 1 | -32.272 |
| 2 | -37.391 |